1.
The following is a PBE-GGA calculation of a relaxed structure of Pm2Th2Sn5, from Alexandria via LeMat-Bulk.

The value obtained for the total energy is -97.7 eV for the cell shown. As for the energy of formation from the pure elements: -0.500 eV/atom. Its space group is Cmce.

abc: 8.233 8.214 9.208
angles: 116.49 90.00 90.00
Atoms (fractional coordinates):
Sn 0.869 0.495 0.727
Sn 0.869 0.768 0.273
Sn 0.631 0.995 0.727
Sn 0.369 0.005 0.273
Sn 0.369 0.732 0.727
Sn 0.631 0.268 0.273
Sn 0.000 0.000 0.000
Sn 0.131 0.232 0.727
Sn 0.131 0.505 0.273
Sn 0.500 0.500 0.000
Th 0.500 0.310 0.620
Th 0.000 0.190 0.380
Th 0.500 0.690 0.380
Th 0.000 0.810 0.620
Pm 0.168 0.666 0.000
Pm 0.832 0.334 0.000
Pm 0.668 0.834 0.000
Pm 0.332 0.166 0.000


2.
The following is a PBE-GGA calculation of a relaxed structure of Dy2Ho6Er3Tm, from Alexandria via LeMat-Bulk.

The value obtained for the total energy is -54.6 eV for the cell shown. As for the energy of formation from the pure elements: 0.020 eV/atom. Its space group is C2/m.

abc: 6.077 6.077 11.633
angles: 94.98 94.98 119.94
Atoms (fractional coordinates):
Tm 0.000 0.000 0.000
Ho 0.249 0.249 0.750
Ho 0.917 0.583 0.750
Ho 0.583 0.917 0.750
Ho 0.417 0.083 0.250
Ho 0.083 0.417 0.250
Ho 0.751 0.751 0.250
Dy 0.333 0.667 0.000
Dy 0.667 0.333 0.000
Er 0.167 0.833 0.500
Er 0.833 0.167 0.500
Er 0.500 0.500 0.500